Record 1
First-principles (PBEsol) data for Mg2InSe after structural relaxation, as listed in Alexandria via LeMat-Bulk.

abc: 3.554 3.554 8.093
angles: 90.00 90.00 90.00
Positions (direct):
In 0.500 0.500 0.773
Mg 0.000 0.000 0.997
Mg 0.500 0.500 0.415
Se 0.000 0.000 0.315

Results
raw formation energy = -0.4554 eV per atom
excess energy over the best structure of this formula in the dataset = 0 meV per atom


Record 2
First-principles (PBEsol) data for HgMoAs2 after structural relaxation, as listed in Alexandria via LeMat-Bulk.

abc: 4.652 4.652 4.652
angles: 60.00 60.00 60.00
Positions (direct):
As 0.000 0.000 0.000
As 0.750 0.750 0.750
Mo 0.250 0.250 0.250
Hg 0.500 0.500 0.500


Record 3
First-principles (PBEsol) data for V3NiP4O16 after structural relaxation, as listed in Alexandria via LeMat-Bulk.

abc: 4.739 5.682 9.830
angles: 90.00 90.12 90.00
Positions (direct):
V 0.529 0.000 0.771
V 0.453 0.500 0.227
V 0.035 0.500 0.730
Ni 0.954 0.000 0.273
P 0.891 0.500 0.405
P 0.598 0.500 0.909
P 0.425 0.000 0.093
P 0.093 0.000 0.591
O 0.838 0.500 0.559
O 0.733 0.293 0.331
O 0.733 0.707 0.331
O 0.777 0.000 0.619
O 0.741 0.000 0.106
O 0.746 0.291 0.829
O 0.746 0.709 0.829
O 0.674 0.500 0.058
O 0.338 0.000 0.943
O 0.278 0.786 0.169
O 0.278 0.214 0.169
O 0.281 0.500 0.886
O 0.207 0.500 0.380
O 0.243 0.791 0.674
O 0.243 0.209 0.674
O 0.168 0.000 0.443

Results
raw formation energy = -2.0760 eV per atom


Number 1: raw total energy -12.09 eV for the cell shown. Number 2: raw total energy -19.75 eV for the cell shown. Number 3: raw total energy -192.04 eV for the cell shown.